Record 1
Entry from Alexandria via LeMat-Bulk: an optimized crystal structure of MnAlVFeMo (PBE-GGA).

As for the energy above the lowest structure with this stoichiometry: 0.082 eV/atom. Its formation energy is -0.1484 eV/atom.

Lattice parameters (Å, degrees): 4.1148 4.1148 13.0964 90.00 90.00 120.00
Closest atoms and distances in Å follow each position.
Fractional positions:
Al1 0.6667 0.3333 0.2435  3 Fe 2.51, 1 Mn 2.52, 3 Mo 2.61, 1 V 2.78
Mn1 0.6667 0.3333 0.4357  3 Mo 2.50, 1 Al 2.52, 3 V 2.55, 1 Fe 2.66
Fe1 0.0000 0.0000 0.3054  1 Mo 2.49, 3 V 2.50, 3 Al 2.51, 1 Mn 2.66
V1 0.0000 0.0000 0.6976  3 Fe 2.50, 3 Mn 2.55, 1 Mo 2.65, 1 Al 2.78
Fe2 0.6667 0.3333 0.6387  1 Mo 2.49, 3 V 2.50, 3 Al 2.51, 1 Mn 2.66
Fe3 0.3333 0.6667 0.9720  1 Mo 2.49, 3 V 2.50, 3 Al 2.51, 1 Mn 2.66
Mn2 0.0000 0.0000 0.1024  3 Mo 2.50, 1 Al 2.52, 3 V 2.55, 1 Fe 2.66
Mo1 0.6667 0.3333 0.8286  1 Fe 2.49, 3 Mn 2.50, 3 Al 2.61, 1 V 2.65
Al2 0.3333 0.6667 0.5769  3 Fe 2.51, 1 Mn 2.52, 3 Mo 2.61, 1 V 2.78
V2 0.6667 0.3333 0.0309  3 Fe 2.50, 3 Mn 2.55, 1 Mo 2.65, 1 Al 2.78
V3 0.3333 0.6667 0.3643  3 Fe 2.50, 3 Mn 2.55, 1 Mo 2.65, 1 Al 2.78
Mn3 0.3333 0.6667 0.7691  3 Mo 2.50, 1 Al 2.52, 3 V 2.55, 1 Fe 2.66
Mo2 0.0000 0.0000 0.4952  1 Fe 2.49, 3 Mn 2.50, 3 Al 2.61, 1 V 2.65
Al3 0.0000 0.0000 0.9102  3 Fe 2.51, 1 Mn 2.52, 3 Mo 2.61, 1 V 2.78
Mo3 0.3333 0.6667 0.1619  1 Fe 2.49, 3 Mn 2.50, 3 Al 2.61, 1 V 2.65



Record 2
Entry from Alexandria via LeMat-Bulk: an optimized crystal structure of MnAlVFeMo (PBE-GGA).

As for the energy above the lowest structure with this stoichiometry: 0.100 eV/atom. Its formation energy is -0.1300 eV/atom.

Lattice parameters (Å, degrees): 6.4125 2.9837 9.2099 90.00 132.57 90.00
Closest atoms and distances in Å follow each position.
Fractional positions:
Mo1 0.1781 0.0000 0.0257  2 Fe 2.51, 2 Mn 2.57, 2 V 2.61, 3 Al 2.67-2.82
Fe1 0.7920 0.0000 0.4393  2 Mo 2.51, 2 V 2.53, 2 Mn 2.54, 2 Al 2.55
Mn1 0.9698 0.0000 0.2267  2 V 2.43, 2 Fe 2.54, 2 Mo 2.57, 2 Al 2.61
Mo2 0.1781 0.5000 0.5257  2 Fe 2.51, 2 Mn 2.57, 2 V 2.61, 3 Al 2.67-2.82
V1 0.6074 0.0000 0.6510  2 Mn 2.43, 2 Fe 2.53, 2 Mo 2.61, 2 Al 2.64
Fe2 0.7920 0.5000 0.9393  2 Mo 2.51, 2 V 2.53, 2 Mn 2.54, 2 Al 2.55
V2 0.6074 0.5000 0.1510  2 Mn 2.43, 2 Fe 2.53, 2 Mo 2.61, 2 Al 2.64
Al1 0.3919 0.5000 0.3409  2 Fe 2.55, 2 Mn 2.61, 2 V 2.64, 3 Mo 2.67-2.82
Mn2 0.9698 0.5000 0.7267  2 V 2.43, 2 Fe 2.54, 2 Mo 2.57, 2 Al 2.61
Al2 0.3919 0.0000 0.8409  2 Fe 2.55, 2 Mn 2.61, 2 V 2.64, 3 Mo 2.67-2.82



Record 3
Entry from Alexandria via LeMat-Bulk: an optimized crystal structure of MnAlVFeMo (PBE-GGA).

As for the energy above the lowest structure with this stoichiometry: 0.101 eV/atom. Its formation energy is -0.1288 eV/atom.

Lattice parameters (Å, degrees): 6.4615 2.9850 9.2793 90.00 133.35 90.00
Closest atoms and distances in Å follow each position.
Fractional positions:
V1 0.0172 0.0000 0.3036  2 Mn 2.45, 2 Fe 2.50, 2 Mo 2.61, 2 Al 2.67
Mo1 0.7951 0.5000 0.9965  3 Fe 2.55-2.83, 2 Mn 2.56, 2 V 2.61, 3 Al 2.69-2.81
V2 0.0172 0.5000 0.8036  2 Mn 2.45, 2 Fe 2.50, 2 Mo 2.61, 2 Al 2.67
Mo2 0.7951 0.0000 0.4965  3 Fe 2.55-2.83, 2 Mn 2.56, 2 V 2.61, 3 Al 2.69-2.81
Al1 0.2393 0.5000 0.6202  2 Fe 2.53, 3 Mn 2.59-2.77, 2 V 2.67, 3 Mo 2.69-2.81
Al2 0.2393 0.0000 0.1202  2 Fe 2.53, 3 Mn 2.59-2.77, 2 V 2.67, 3 Mo 2.69-2.81
Mn1 0.4028 0.0000 0.9116  2 V 2.45, 2 Fe 2.55, 2 Mo 2.56, 2 Al 2.59
Fe1 0.6307 0.0000 0.7117  2 V 2.50, 2 Al 2.53, 2 Mo 2.55, 2 Mn 2.55
Fe2 0.6307 0.5000 0.2117  2 V 2.50, 2 Al 2.53, 2 Mo 2.55, 2 Mn 2.55
Mn2 0.4028 0.5000 0.4116  2 V 2.45, 2 Fe 2.55, 2 Mo 2.56, 2 Al 2.59



Record 4
Entry from Alexandria via LeMat-Bulk: an optimized crystal structure of MnAlVFeMo (PBE-GGA).

As for the energy above the lowest structure with this stoichiometry: 0.155 eV/atom. Its formation energy is -0.0754 eV/atom.

Lattice parameters (Å, degrees): 4.1951 4.1951 12.7596 90.00 90.00 120.00
Closest atoms and distances in Å follow each position.
Fractional positions:
Mo1 0.6667 0.3333 0.6760  3 V 2.53, 1 Fe 2.54, 1 Al 2.58, 3 Mn 2.59
V1 0.0000 0.0000 0.7339  1 Fe 2.45, 3 Mo 2.53, 1 Mn 2.59, 3 Al 2.59
Mn1 0.0000 0.0000 0.9365  3 Fe 2.55, 1 V 2.59, 3 Mo 2.59, 1 Al 2.60
V2 0.6667 0.3333 0.0672  1 Fe 2.45, 3 Mo 2.53, 1 Mn 2.59, 3 Al 2.59
Mo2 0.0000 0.0000 0.3427  3 V 2.53, 1 Fe 2.54, 1 Al 2.58, 3 Mn 2.59
Mn2 0.6667 0.3333 0.2699  3 Fe 2.55, 1 V 2.59, 3 Mo 2.59, 1 Al 2.60
Fe1 0.6667 0.3333 0.8752  1 V 2.45, 1 Mo 2.54, 3 Mn 2.55, 3 Al 2.57
Mo3 0.3333 0.6667 0.0093  3 V 2.53, 1 Fe 2.54, 1 Al 2.58, 3 Mn 2.59
Fe2 0.0000 0.0000 0.5419  1 V 2.45, 1 Mo 2.54, 3 Mn 2.55, 3 Al 2.57
Mn3 0.3333 0.6667 0.6032  3 Fe 2.55, 1 V 2.59, 3 Mo 2.59, 1 Al 2.60
Al1 0.0000 0.0000 0.1401  3 Fe 2.57, 1 Mo 2.58, 3 V 2.59, 1 Mn 2.60
Al2 0.3333 0.6667 0.8068  3 Fe 2.57, 1 Mo 2.58, 3 V 2.59, 1 Mn 2.60
V3 0.3333 0.6667 0.4006  1 Fe 2.45, 3 Mo 2.53, 1 Mn 2.59, 3 Al 2.59
Al3 0.6667 0.3333 0.4734  3 Fe 2.57, 1 Mo 2.58, 3 V 2.59, 1 Mn 2.60
Fe3 0.3333 0.6667 0.2085  1 V 2.45, 1 Mo 2.54, 3 Mn 2.55, 3 Al 2.57



Record 5
Entry from Alexandria via LeMat-Bulk: an optimized crystal structure of MnAlVFeMo (PBE-GGA).

As for the energy above the lowest structure with this stoichiometry: 0.158 eV/atom. Its formation energy is -0.0716 eV/atom.

Lattice parameters (Å, degrees): 4.2509 4.2509 12.6130 90.00 90.00 120.00
Closest atoms and distances in Å follow each position.
Fractional positions:
Mn1 0.0000 0.0000 0.5313  1 V 2.42, 1 Mo 2.47, 3 Fe 2.55, 3 Al 2.61
V1 0.3333 0.6667 0.0058  1 Mn 2.42, 1 Fe 2.49, 3 Mo 2.55, 3 Al 2.61
Mo1 0.0000 0.0000 0.7275  1 Mn 2.47, 3 V 2.55, 1 Al 2.62, 3 Fe 2.66
V2 0.0000 0.0000 0.3391  1 Mn 2.42, 1 Fe 2.49, 3 Mo 2.55, 3 Al 2.61
Fe1 0.0000 0.0000 0.1420  1 V 2.49, 3 Mn 2.55, 1 Al 2.61, 3 Mo 2.66
Fe2 0.3333 0.6667 0.8086  1 V 2.49, 3 Mn 2.55, 1 Al 2.61, 3 Mo 2.66
Al1 0.0000 0.0000 0.9348  3 Mn 2.61, 3 V 2.61, 1 Fe 2.61, 1 Mo 2.62
Mn2 0.6667 0.3333 0.8646  1 V 2.42, 1 Mo 2.47, 3 Fe 2.55, 3 Al 2.61
V3 0.6667 0.3333 0.6725  1 Mn 2.42, 1 Fe 2.49, 3 Mo 2.55, 3 Al 2.61
Mo2 0.3333 0.6667 0.3941  1 Mn 2.47, 3 V 2.55, 1 Al 2.62, 3 Fe 2.66
Fe3 0.6667 0.3333 0.4753  1 V 2.49, 3 Mn 2.55, 1 Al 2.61, 3 Mo 2.66
Mo3 0.6667 0.3333 0.0608  1 Mn 2.47, 3 V 2.55, 1 Al 2.62, 3 Fe 2.66
Mn3 0.3333 0.6667 0.1980  1 V 2.42, 1 Mo 2.47, 3 Fe 2.55, 3 Al 2.61
Al2 0.6667 0.3333 0.2682  3 Mn 2.61, 3 V 2.61, 1 Fe 2.61, 1 Mo 2.62
Al3 0.3333 0.6667 0.6015  3 Mn 2.61, 3 V 2.61, 1 Fe 2.61, 1 Mo 2.62



Record 6
Entry from Alexandria via LeMat-Bulk: an optimized crystal structure of MnAlVFeMo (PBE-GGA).

As for the energy above the lowest structure with this stoichiometry: 0.000 eV/atom. Its formation energy is -0.2301 eV/atom.

Lattice parameters (Å, degrees): 4.1056 4.1056 13.0371 90.00 90.00 120.00
Closest atoms and distances in Å follow each position.
Fractional positions:
Fe1 0.0000 0.0000 0.6046  1 V 2.49, 3 Mo 2.50, 3 Al 2.53, 1 Mn 2.56
Al1 0.3333 0.6667 0.6716  3 Fe 2.53, 3 Mn 2.54, 1 Mo 2.69, 1 V 2.73
Al2 0.0000 0.0000 0.0050  3 Fe 2.53, 3 Mn 2.54, 1 Mo 2.69, 1 V 2.73
Mo1 0.3333 0.6667 0.8778  3 Fe 2.50, 1 Mn 2.57, 3 V 2.60, 1 Al 2.69
Al3 0.6667 0.3333 0.3383  3 Fe 2.53, 3 Mn 2.54, 1 Mo 2.69, 1 V 2.73
Fe2 0.6667 0.3333 0.9379  1 V 2.49, 3 Mo 2.50, 3 Al 2.53, 1 Mn 2.56
Mn1 0.3333 0.6667 0.0746  3 V 2.47, 3 Al 2.54, 1 Fe 2.56, 1 Mo 2.57
V1 0.3333 0.6667 0.4623  3 Mn 2.47, 1 Fe 2.49, 3 Mo 2.60, 1 Al 2.73
V2 0.0000 0.0000 0.7956  3 Mn 2.47, 1 Fe 2.49, 3 Mo 2.60, 1 Al 2.73
Mo2 0.0000 0.0000 0.2111  3 Fe 2.50, 1 Mn 2.57, 3 V 2.60, 1 Al 2.69
Mn2 0.6667 0.3333 0.7413  3 V 2.47, 3 Al 2.54, 1 Fe 2.56, 1 Mo 2.57
Mo3 0.6667 0.3333 0.5444  3 Fe 2.50, 1 Mn 2.57, 3 V 2.60, 1 Al 2.69
Fe3 0.3333 0.6667 0.2713  1 V 2.49, 3 Mo 2.50, 3 Al 2.53, 1 Mn 2.56
V3 0.6667 0.3333 0.1289  3 Mn 2.47, 1 Fe 2.49, 3 Mo 2.60, 1 Al 2.73
Mn3 0.0000 0.0000 0.4080  3 V 2.47, 3 Al 2.54, 1 Fe 2.56, 1 Mo 2.57



Record 7
Entry from Alexandria via LeMat-Bulk: an optimized crystal structure of MnAlVFeMo (PBE-GGA).

As for the energy above the lowest structure with this stoichiometry: 0.091 eV/atom. Its formation energy is -0.1390 eV/atom.

Lattice parameters (Å, degrees): 4.9032 4.2160 7.3076 90.00 119.85 90.00
Closest atoms and distances in Å follow each position.
Fractional positions:
Mo1 0.3752 0.0000 0.4922  3 Mn 2.53, 1 V 2.56, 3 Fe 2.68, 1 Al 2.76
Fe1 0.6376 0.5000 0.4132  1 Mn 2.45, 3 V 2.50, 1 Al 2.61, 3 Mo 2.68
Mn1 0.2135 0.0000 0.1051  1 V 2.38, 1 Fe 2.45, 3 Mo 2.53, 3 Al 2.56-2.57
Al1 0.0239 0.0000 0.7085  3 Mn 2.56-2.57, 1 Fe 2.61, 3 V 2.66, 4 Mo 2.76-2.86
V1 0.7739 0.0000 0.2918  1 Mn 2.38, 3 Fe 2.50, 1 Mo 2.56, 3 Al 2.66
Al2 0.0239 0.5000 0.2085  3 Mn 2.56-2.57, 1 Fe 2.61, 3 V 2.66, 4 Mo 2.76-2.86
Mo2 0.3752 0.5000 0.9922  3 Mn 2.53, 1 V 2.56, 3 Fe 2.68, 1 Al 2.76
Mn2 0.2135 0.5000 0.6051  1 V 2.38, 1 Fe 2.45, 3 Mo 2.53, 3 Al 2.56-2.57
Fe2 0.6376 0.0000 0.9132  1 Mn 2.45, 3 V 2.50, 1 Al 2.61, 3 Mo 2.68
V2 0.7739 0.5000 0.7918  1 Mn 2.38, 3 Fe 2.50, 1 Mo 2.56, 3 Al 2.66



Record 8
Entry from Alexandria via LeMat-Bulk: an optimized crystal structure of MnAlVFeMo (PBE-GGA).

As for the energy above the lowest structure with this stoichiometry: 0.251 eV/atom. Its formation energy is 0.0212 eV/atom.

Lattice parameters (Å, degrees): 4.0763 4.0763 4.8694 90.00 90.00 120.00
Closest atoms and distances in Å follow each position.
Fractional positions:
Al1 0.0000 0.0000 0.7081  3 Mn 2.51, 3 Fe 2.53
Fe1 0.6667 0.3333 0.8961  2 V 2.38-2.49, 3 Mo 2.48, 3 Al 2.53
V1 0.6667 0.3333 0.3856  2 Fe 2.38-2.49, 3 Mn 2.45
Mo1 0.3333 0.6667 0.0551  1 Mn 2.30, 3 Fe 2.48
Mn1 0.3333 0.6667 0.5268  1 Mo 2.30, 3 V 2.45, 3 Al 2.51